# 1
Tc2MoW | PBE | relaxed

```
4
Lattice="4.434 0.000 0.000 0.000 4.434 0.000 0.000 0.000 3.121" Properties=species:S:1:pos:R:3 pbc="T T T"
Mo 0.000 2.217 1.560
Tc 0.000 0.000 0.000
Tc 2.217 2.217 0.000
W 2.217 0.000 1.560
```

Properties
**Volume**: 15.340 Å³/atom
**Relative energy among the computed polymorphs**: 12 meV per atom
**ρ**: 12.9 g/cm3
**ΔE_f**: 0.08 eV/atom



# 2
Cr3Fe | PBE | relaxed

```
4
Lattice="4.662 -0.263 0.000 -1.801 4.308 0.000 0.000 0.000 2.362" Properties=species:S:1:pos:R:3 pbc="T T T"
Cr 0.000 0.000 0.000
Cr -0.901 2.154 1.181
Cr 2.331 -0.132 1.181
Fe 1.430 2.022 0.000
```

Properties
**Volume**: 11.578 Å³/atom
**ρ**: 7.6 g/cm3
**ΔE_f**: 0.24 eV/atom



# 3
Ce2ErZn4 | PBE | relaxed

```
7
Lattice="4.237 0.000 -1.351 -0.791 5.060 -2.482 0.257 -2.106 8.128" Properties=species:S:1:pos:R:3 pbc="T T T"
Ce 2.682 2.032 1.091
Ce 1.022 0.922 3.205
Er 0.000 0.000 0.000
Zn 1.855 -0.990 5.818
Zn 3.720 -0.023 4.347
Zn 1.849 3.944 -1.523
Zn -0.016 2.976 -0.052
```

Properties
**Volume**: 21.660 Å³/atom
**ρ**: 7.8 g/cm3
**ΔE_f**: -0.15 eV/atom



# 4
Co3CCl | PBE | relaxed

```
5
Lattice="3.857 0.000 0.000 0.000 3.857 0.000 0.000 0.000 3.857" Properties=species:S:1:pos:R:3 pbc="T T T"
C 0.000 0.000 0.000
Co 0.000 1.929 0.000
Co 0.000 0.000 1.929
Co 1.929 0.000 0.000
Cl 1.929 1.929 1.929
```

Properties
**Volume**: 11.479 Å³/atom
**Relative energy among the computed polymorphs**: 0 meV per atom
**ρ**: 6.5 g/cm3



# 5
ZrTa2C | PBE | relaxed

```
4
Lattice="-6.293 -4.303 2.251 -5.920 -5.260 -0.691 -4.228 -6.541 1.591" Properties=species:S:1:pos:R:3 pbc="T T T"
C -12.331 -12.078 2.364
Zr -4.110 -4.026 0.788
Ta -0.481 -0.472 0.092
Ta -7.739 -7.581 1.484
```

Properties
**Volume**: 16.279 Å³/atom
**ρ**: 11.9 g/cm3
**ΔE_f**: -0.35 eV/atom



# 6
ZnSiCl2 | PBE | relaxed

```
4
Lattice="2.729 -4.745 10.205 5.711 -3.440 9.468 3.391 -1.562 10.962" Properties=species:S:1:pos:R:3 pbc="T T T"
Zn 5.915 -4.874 15.318
Si 0.000 0.000 0.000
Cl 10.369 -8.543 26.850
Cl 1.462 -1.204 3.785
```

Properties
**Volume**: 27.540 Å³/atom
**Relative energy among the computed polymorphs**: 159 meV per atom
**ρ**: 2.5 g/cm3



# 7
NaYGaTc2 | PBE | relaxed

```
5
Lattice="4.719 0.000 0.000 0.000 5.287 0.000 0.000 0.000 4.719" Properties=species:S:1:pos:R:3 pbc="T T T"
Y 0.000 2.644 0.000
Na 2.360 2.644 2.360
Tc 0.000 0.000 2.360
Tc 2.360 0.000 0.000
Ga 0.000 0.000 0.000
```

Properties
**Volume**: 23.550 Å³/atom
**ρ**: 5.3 g/cm3
**ΔE_f**: 0.99 eV/atom



# 8
AlHg2Pt | PBE | relaxed

```
4
Lattice="-0.485 -4.581 -1.156 2.701 -3.283 2.120 -1.942 -3.037 3.093" Properties=species:S:1:pos:R:3 pbc="T T T"
Hg 0.000 0.000 0.000
Hg 0.068 -2.725 1.014
Pt 0.205 -8.176 3.043
Al 0.137 -5.450 2.029
```

Properties
**Volume**: 18.943 Å³/atom
**ρ**: 13.7 g/cm3
**ΔE_f**: 0.08 eV/atom



# 9
Si2SbSe6 | PBE | relaxed

```
18
Lattice="-0.516 2.535 -5.995 7.464 -2.990 -3.414 -3.844 -6.734 -4.023" Properties=species:S:1:pos:R:3 pbc="T T T"
Si 1.557 -6.587 -6.410
Si 0.062 -2.447 -4.119
Si 1.548 -0.603 -7.022
Si 3.042 -4.742 -9.313
Sb -2.530 -5.623 -5.444
Sb 5.634 -1.567 -7.988
Se 3.036 -4.887 -7.007
Se 2.197 -2.950 -3.326
Se 0.068 -2.303 -6.425
Se 0.908 -4.239 -10.106
Se 4.429 -3.020 -9.942
Se 3.618 -1.180 -6.207
Se -1.324 -4.169 -3.490
Se -0.513 -6.010 -7.225
Se 2.129 -8.484 -7.602
Se -0.726 -0.622 -2.938
Se 0.976 1.294 -5.830
Se 3.830 -6.567 -10.494
```

Properties
**Volume**: 26.961 Å³/atom
**Total DFT energy (no corrections)**: -38.02 eV per formula unit
**ρ**: 4.5 g/cm3



# 10
ScReAg | PBE | relaxed

```
3
Lattice="6.891 0.976 0.000 5.243 4.577 0.000 -6.067 -2.776 1.980" Properties=species:S:1:pos:R:3 pbc="T T T"
Ag 12.089 5.532 0.000
Re 4.022 1.840 0.000
Sc 8.159 3.733 0.000
```

Properties
**Volume**: 17.437 Å³/atom
**Relative energy among the computed polymorphs**: 11 meV per atom
**ρ**: 10.8 g/cm3
**ΔE_f**: 0.25 eV/atom



# 11
CoP2Se | PBE | relaxed

```
4
Lattice="-2.623 0.069 -1.345 -0.685 -4.018 1.129 -1.954 1.425 3.884" Properties=species:S:1:pos:R:3 pbc="T T T"
Co -1.320 -1.297 2.506
P 0.000 0.000 0.000
P -1.654 -1.975 -0.108
Se -2.289 0.747 1.269
```

Properties
**Volume**: 14.265 Å³/atom
**Total DFT energy (no corrections)**: -19.08 eV per formula unit
**ρ**: 5.8 g/cm3



# 12
Na3HAu | PBE | relaxed

```
5
Lattice="-1.527 1.653 4.056 2.543 -3.162 2.246 3.566 2.963 0.135" Properties=species:S:1:pos:R:3 pbc="T T T"
Na 1.272 -1.581 1.123
Na 1.783 1.482 0.067
Na -0.763 0.827 2.028
Au 2.291 0.727 3.218
H 0.000 0.000 0.000
```

Properties
**Volume**: 19.959 Å³/atom
**Relative energy among the computed polymorphs**: 0 meV per atom
**ρ**: 4.4 g/cm3



# 13
DyBe2Pt2 | PBE | relaxed

```
10
Lattice="4.057 0.021 0.000 -0.677 4.001 0.000 0.000 0.000 9.703" Properties=species:S:1:pos:R:3 pbc="T T T"
Dy 2.536 3.016 2.426
Dy 0.845 1.005 7.277
Be 0.506 3.006 0.000
Be 2.874 1.015 4.851
Be 0.506 3.006 4.851
Be 2.874 1.015 0.000
Pt 2.535 3.015 5.918
Pt 0.846 1.006 1.066
Pt 2.535 3.015 8.636
Pt 0.846 1.006 3.785
```

Properties
**Volume**: 15.763 Å³/atom
**Relative energy among the computed polymorphs**: 70 meV per atom
**ρ**: 12.0 g/cm3
**ΔE_f**: -0.85 eV/atom



# 14
TbTlTeSe | PBE | relaxed

```
4
Lattice="4.321 -0.001 0.000 -2.160 3.742 -0.001 -2.159 -1.248 8.138" Properties=species:S:1:pos:R:3 pbc="T T T"
Tb -1.751 0.973 6.927
Tl 2.569 0.974 2.938
Te -1.752 3.469 0.685
Se 0.410 -0.275 5.479
```

Properties
**Volume**: 32.898 Å³/atom
**Total DFT energy (no corrections)**: -18.43 eV per formula unit
**ρ**: 7.2 g/cm3



# 15
Ba2PmSi3Pt12 | PBE | relaxed

```
18
Lattice="7.939 -0.286 -0.203 3.672 7.045 -0.203 3.672 2.137 6.716" Properties=species:S:1:pos:R:3 pbc="T T T"
Ba 9.173 5.340 3.787
Ba 6.109 3.556 2.522
Pm 0.000 0.000 0.000
Si 3.969 -0.143 -0.101
Si 1.836 3.522 -0.101
Si 1.836 1.069 3.358
Pt 7.305 4.252 5.979
Pt 11.489 6.688 2.341
Pt 9.517 7.807 5.538
Pt 9.737 2.871 2.037
Pt 11.489 4.420 5.538
Pt 7.305 7.049 2.037
Pt 7.977 4.643 0.330
Pt 3.793 2.208 3.969
Pt 5.765 1.088 0.772
Pt 5.545 6.024 4.273
Pt 3.793 4.476 0.772
Pt 7.977 1.847 4.273
```

Properties
**Volume**: 21.663 Å³/atom
**Total DFT energy (no corrections)**: -104.56 eV per formula unit
**ρ**: 12.1 g/cm3



no.,total magnetic moment (μB/f.u.)
1,0.00
2,1.90
3,1.85
4,2.99
5,0.00
6,0.00
7,1.62
8,0.00
9,0.00
10,0.00
11,0.39
12,0.00
13,0.00
14,0.00
15,0.00